A geometry-optimized Zn2Mo2Os structure, computed with PBE-GGA.

Results
Its energy relative to the lowest polymorph listed for this composition is 0 meV/atom. The uncorrected energy is -6.51 eV per atom. As for the space group: I4/mmm, No. 139. The calculation puts the spin magnetization at 0.0 μB per formula unit. The formation energy from the elements comes out at 0.579 eV/atom. As for the crystal system: tetragonal.

a b c (Å): 7.5649 7.5649 7.5649
angles (deg): 154.45 154.45 36.45
Closest atoms and distances in Å follow each position.
Positions (direct):
Zn 0.2500 0.7500 0.5000  4 Zn 2.37
Zn 0.7500 0.2500 0.5000  4 Zn 2.37
Mo 0.0904 0.0904 0.0000  1 Mo 2.60, 4 Os 2.70, 4 Zn 2.84
Mo 0.9096 0.9096 0.0000  1 Mo 2.60, 4 Os 2.70, 4 Zn 2.84
Os 0.5000 0.5000 0.0000  8 Mo 2.70